VASP calculation (GGA-PBE) on a geometry-optimized NdYTl2 structure.

Cell and atoms, written as extended XYZ:
```
4
Lattice="3.8284 0.0000 0.0000 1.9142 3.3155 0.0000 1.9142 1.1052 9.7082" Properties=species:S:1:pos:R:3 pbc="T T T"
Y 3.8284 2.2103 4.8541
Tl 5.7426 3.3155 7.2176
Tl 1.9142 1.1052 2.4906
Nd 0.0000 0.0000 0.0000
```

Results
The formation energy comes out at -1.10 eV/f.u. As for the space-group type: R-3m (166). The calculation puts the raw total energy at -17.07 eV for the cell shown.

***

VASP calculation (GGA-PBE) on a geometry-optimized NdY2Tl structure.

Cell and atoms, written as extended XYZ:
```
8
Lattice="4.8685 0.0000 0.0000 0.0000 4.6487 -0.9256 0.0000 -0.1856 11.3120" Properties=species:S:1:pos:R:3 pbc="T T T"
Nd 1.2171 1.3055 6.6471
Nd 3.6514 3.1577 3.7393
Y 3.6514 1.8899 9.5933
Y 1.2171 2.5733 0.7931
Y 1.2171 4.1808 8.9639
Y 3.6514 0.2823 1.4225
Tl 3.6514 3.7612 6.8653
Tl 1.2171 0.7019 3.5211
```

Results
The formation energy comes out at -0.68 eV/f.u. For the relative energy among the computed polymorphs, the calculation gives 0.11 eV/f.u. As for the space-group type: P2_1/m (11). The calculation puts the raw total energy at -41.48 eV for the cell shown.